1.
A plane-wave DFT calculation with PBE was carried out for a geometry-optimized ScMnSn2Te5 structure.

Computed properties:
magnetic moment: 4.16 μB per formula unit
formation energy without anion corrections: -0.454 eV/atom
volume: 32.132 Å³/atom
ρ: 5.60 g cm⁻³

Cell and atoms, written as POSCAR:
```
ScMnSn2Te5
1.0
2.108 -9.765 0.000
2.108 9.765 0.000
0.000 0.000 14.051
Sc Mn Sn Te
2 2 4 10
Direct
0.194 0.806 0.500 Sc
0.806 0.194 0.000 Sc
0.425 0.575 0.900 Mn
0.575 0.425 0.400 Mn
0.071 0.929 0.840 Sn
0.170 0.830 0.153 Sn
0.830 0.170 0.653 Sn
0.929 0.071 0.340 Sn
0.034 0.966 0.504 Te
0.297 0.703 0.850 Te
0.320 0.680 0.143 Te
0.342 0.658 0.501 Te
0.491 0.509 0.737 Te
0.509 0.491 0.237 Te
0.658 0.342 0.001 Te
0.680 0.320 0.643 Te
0.703 0.297 0.350 Te
0.966 0.034 0.004 Te
```


2.
A plane-wave DFT calculation with PBE was carried out for a geometry-optimized ScMn2VSn structure.

Computed properties:
final energy: -6.9448 eV per atom
magnetic moment: 3.85 μB per formula unit
volume: 19.592 Å³/atom
ρ: 5.50 g cm⁻³

Cell and atoms, written as POSCAR:
```
ScMn2VSn
1.0
4.434 0.000 0.000
0.000 4.434 0.000
0.000 0.000 4.982
Sc Mn V Sn
1 2 1 1
Direct
0.000 0.000 0.000 Sc
0.000 0.500 0.500 Mn
0.500 0.000 0.500 Mn
0.000 0.000 0.500 V
0.500 0.500 0.000 Sn
```